8
Lattice="5.5694 0.0000 0.0000 2.7847 4.8357 -1.2284 2.7847 -0.6853 4.9420" Properties=species:S:1:pos:R:3 comment="KCd2CoO4 GGA+U relaxed" spacegroup="I-42m, No. 121" final_energy_ev_per_atom=-4.56 pbc="T T T"
O 3.8568 3.6115 1.7474
Cd 5.5694 0.6950 3.3993
Co 2.7847 2.0752 1.8568
Cd 5.5694 3.4554 0.3143
O 3.8568 0.5389 1.9662
O 7.2820 2.1366 3.3958
K 0.0000 0.0000 0.0000
O 7.2820 2.0138 0.3178